1.
GGA+U MnTlCu2F8, optimized geometry; total energy = -53.91 eV per formula unit; calculated volume = 15.7 A^3/atom
1.0
5.289 0.000 0.000
2.644 4.580 0.000
2.644 1.527 7.780
F Cu Tl Mn
8 2 1 1
Direct
0.245 0.956 0.142
0.956 0.657 0.142
0.657 0.245 0.142
0.755 0.044 0.858
0.822 0.822 0.533
0.343 0.755 0.858
0.178 0.178 0.467
0.044 0.343 0.858
0.256 0.256 0.231
0.744 0.744 0.769
0.500 0.500 0.500
0.000 0.000 0.000

---

2.
GGA+U MnTl3Cu2F9, optimized geometry; total energy = -67.87 eV per formula unit; calculated volume = 14.8 A^3/atom
1.0
5.938 0.000 0.000
-2.969 5.142 0.000
0.000 0.000 7.276
Cu Tl F Mn
2 3 9 1
Direct
0.667 0.333 0.836
0.333 0.667 0.164
0.000 0.000 0.000
0.333 0.667 0.674
0.667 0.333 0.326
0.665 0.833 0.332
0.833 0.665 0.668
0.500 0.000 0.000
0.335 0.167 0.668
0.000 0.500 0.000
0.500 0.500 0.000
0.167 0.833 0.332
0.167 0.335 0.332
0.833 0.167 0.668
0.000 0.000 0.500

---

3.
GGA+U MnVCuF6, optimized geometry; total energy = -48.16 eV per formula unit; calculated volume = 12.8 A^3/atom
1.0
-0.185 -2.041 -4.953
2.678 -2.576 3.862
-7.685 -4.672 2.212
Mn Cu F V
2 2 12 2
Direct
0.667 0.333 0.750
0.333 0.667 0.250
0.000 0.000 0.000
0.000 0.000 0.500
0.353 0.341 0.365
0.988 0.647 0.365
0.659 0.012 0.365
0.647 0.988 0.865
0.341 0.988 0.635
0.353 0.012 0.135
0.647 0.659 0.635
0.341 0.353 0.865
0.988 0.341 0.135
0.659 0.647 0.135
0.012 0.659 0.865
0.012 0.353 0.635
0.667 0.333 0.250
0.333 0.667 0.750

---

4.
GGA+U MnZnCuF6, optimized geometry; total energy = -43.39 eV per formula unit; calculated volume = 12.3 A^3/atom
1.0
-3.099 3.645 -2.160
1.331 -4.273 -2.743
-7.476 -4.424 3.263
Cu F Mn Zn
2 12 2 2
Direct
0.333 0.667 0.250
0.667 0.333 0.750
0.664 0.665 0.131
0.336 0.001 0.631
0.664 0.999 0.369
0.336 0.335 0.869
0.001 0.665 0.369
0.001 0.336 0.131
0.335 0.336 0.369
0.999 0.664 0.869
0.665 0.001 0.869
0.665 0.664 0.631
0.999 0.335 0.631
0.335 0.999 0.131
0.000 0.000 0.000
0.000 0.000 0.500
0.667 0.333 0.250
0.333 0.667 0.750

---

5.
GGA+U Cu2MoF, optimized geometry; total energy = -15.27 eV per formula unit; polymorph energy (0 for the lowest one) = 467 meV/atom; calculated volume = 15.2 A^3/atom
1.0
-0.095 1.583 4.121
-3.850 0.398 2.124
-0.947 -2.685 3.375
Cu Mo F
2 1 1
Direct
0.750 0.750 0.750
0.250 0.250 0.250
0.500 0.500 0.500
0.000 0.000 0.000

---

6.
GGA+U CuMo2F2, optimized geometry; total energy = -21.60 eV per formula unit; polymorph energy (0 for the lowest one) = 213 meV/atom; calculated volume = 17.2 A^3/atom
1.0
4.420 0.000 0.000
0.000 4.420 0.000
0.000 0.000 4.412
F Mo Cu
2 2 1
Direct
0.000 0.000 0.000
0.000 0.000 0.500
0.500 0.000 0.000
0.000 0.500 0.000
0.500 0.500 0.500

---

7.
GGA+U Cu2MoF8, optimized geometry; total energy = -51.24 eV per formula unit; calculated volume = 12.9 A^3/atom
1.0
-2.040 -3.553 1.710
5.151 -2.028 1.766
-4.403 4.153 3.483
F Mo Cu
8 1 2
Direct
0.225 0.227 0.911
0.254 0.813 0.412
0.266 0.653 0.815
0.762 0.814 0.700
0.734 0.347 0.185
0.775 0.773 0.089
0.746 0.187 0.588
0.238 0.186 0.300
0.000 0.000 0.000
0.247 0.230 0.621
0.753 0.770 0.379

---

8.
GGA+U CuMoF3, optimized geometry; total energy = -23.62 eV per formula unit; calculated volume = 15.4 A^3/atom
1.0
4.258 0.000 0.000
0.000 4.258 0.000
0.000 0.000 4.258
F Cu Mo
3 1 1
Direct
0.000 0.000 0.500
0.500 0.000 0.000
0.000 0.500 0.000
0.500 0.500 0.500
0.000 0.000 0.000

---

9.
GGA+U CuMoF6, optimized geometry; total energy = -39.38 eV per formula unit; polymorph energy (0 for the lowest one) = 0 meV/atom; calculated volume = 14.1 A^3/atom
1.0
-0.517 1.064 -4.966
3.497 -2.140 -3.332
-1.576 -4.321 -3.193
Cu F Mo
1 6 1
Direct
0.000 0.000 0.000
0.596 0.276 0.265
0.238 0.888 0.244
0.762 0.112 0.756
0.866 0.636 0.254
0.134 0.364 0.746
0.404 0.724 0.735
0.500 0.500 0.500

---

10.
GGA+U CuMo2F2, optimized geometry; total energy = -22.67 eV per formula unit; polymorph energy (0 for the lowest one) = 0 meV/atom; calculated volume = 17.7 A^3/atom
1.0
-2.776 4.740 -5.010
-2.263 -5.728 -4.166
-2.807 -0.013 1.543
Mo F Cu
4 4 2
Direct
0.258 0.242 0.500
0.758 0.258 0.500
0.242 0.742 0.500
0.742 0.758 0.500
0.381 0.881 0.000
0.619 0.119 0.000
0.119 0.381 0.000
0.881 0.619 0.000
0.500 0.500 0.000
0.000 0.000 0.000

---

11.
GGA+U Cu2MoF6, optimized geometry; total energy = -42.96 eV per formula unit; calculated volume = 14.5 A^3/atom
1.0
-2.512 0.993 -2.395
1.904 -5.235 -1.446
-5.007 -0.504 5.043
F Cu Mo
6 2 1
Direct
0.621 0.243 0.574
0.379 0.757 0.426
0.018 0.036 0.219
0.713 0.426 0.099
0.287 0.574 0.901
0.982 0.964 0.781
0.163 0.326 0.103
0.837 0.674 0.897
0.000 0.000 0.500

---

Look up the calculated volume of the tenth one. 17.7 A^3/atom